Here is an optimized crystal structure of Ge2BTe from Alexandria. Energies are from PBE-GGA. Values from VASP.

Cell and atoms, written as Quantum ESPRESSO input:
```
&SYSTEM
  ibrav = 0, nat = 16, ntyp = 3
/
ATOMIC_SPECIES
Ge 72.64 Ge.upf
B 10.81 B.upf
Te 127.60 Te.upf
CELL_PARAMETERS angstrom
5.786 0.000 0.000
0.000 5.786 0.000
0.000 0.000 10.051
ATOMIC_POSITIONS angstrom
Ge 0.828 1.446 1.256
Ge 1.446 3.721 3.769
Ge 1.446 4.957 8.795
Ge 2.065 1.446 6.282
Ge 3.721 4.339 6.282
Ge 4.339 0.828 8.795
Ge 4.339 2.065 3.769
Ge 4.957 4.339 1.256
B 0.000 0.000 0.000
B 0.000 2.893 2.513
B 2.893 0.000 7.538
B 2.893 2.893 5.025
Te 0.000 0.000 5.025
Te 0.000 2.893 7.538
Te 2.893 0.000 2.513
Te 2.893 2.893 0.000
```

Properties
electronic total energy: -4.4838 eV per atom
ΔE_f (raw): 0.280 eV per atom
space group: I-42d, No. 122